[1]
VASP calculation (PBE-GGA) on a relaxed LaPr2ZnN crystal.

It has space group P4/mmm (No. 123), with a = 5.059 Å, b = 5.059 Å, c = 5.044 Å, α = 90.00°, β = 90.00° and γ = 90.00°. Symmetry generates all atoms from La at (0.000, 0.000, 0.000), Pr at (0.000, 0.500, 0.500), Zn at (0.500, 0.500, 0.000) and N at (0.000, 0.000, 0.500).

The total energy is -27.1 eV per cell. As for the crystal system: tetragonal.

[2]
VASP calculation (PBE-GGA) on a relaxed La2PrZrN4 crystal.

It has space group P2/m (No. 10), with a = 6.217 Å, b = 3.569 Å, c = 6.267 Å, α = 90.00°, β = 109.04° and γ = 90.00°. Symmetry generates all atoms from La at (0.000, 0.000, 0.000), La at (0.500, 0.500, 0.000), Pr at (0.000, 0.500, 0.500), Zr at (0.500, 0.000, 0.500), N at (0.269, 0.000, 0.729) and N at (0.276, 0.500, 0.276).

The total energy is -67.5 eV per cell. As for the crystal system: monoclinic.

[3]
VASP calculation (PBE-GGA) on a relaxed LaPr2ZrN4 crystal.

It has space group P2/m (No. 10), with a = 6.197 Å, b = 3.566 Å, c = 6.238 Å, α = 90.00°, β = 109.09° and γ = 90.00°. Symmetry generates all atoms from La at (0.000, 0.000, 0.000), Pr at (0.500, 0.000, 0.500), Pr at (0.500, 0.500, 0.000), Zr at (0.000, 0.500, 0.500), N at (0.226, 0.000, 0.725) and N at (0.232, 0.500, 0.271).

The total energy is -67.3 eV per cell. As for the crystal system: monoclinic.

[4]
VASP calculation (PBE-GGA) on a relaxed La12Pt3N5 crystal.

It has space group Ia-3d (No. 230), with a = 16.111 Å, b = 16.111 Å, c = 16.111 Å, α = 90.00°, β = 90.00° and γ = 90.00°. Symmetry generates all atoms from La at (0.032, 0.054, 0.650), Pt at (0.000, 0.250, 0.125), N at (0.000, 0.000, 0.000) and N at (0.000, 0.250, 0.375).

The total energy is -1104.4 eV per cell. As for the crystal system: cubic.

[5]
VASP calculation (PBE-GGA) on a relaxed La5Pt2N2 crystal.

It has space group Ima2 (No. 46), with a = 18.285 Å, b = 7.278 Å, c = 6.985 Å, α = 90.00°, β = 90.00° and γ = 90.00°. Symmetry generates all atoms from La at (0.019, 0.245, 0.000), La at (0.142, 0.576, 0.225), La at (0.250, 0.123, 0.161), Pt at (0.102, 0.529, 0.764), N at (0.000, 0.000, 0.750) and N at (0.250, 0.076, 0.811).

The total energy is -252.9 eV per cell. As for the crystal system: orthorhombic.

[6]
VASP calculation (PBE-GGA) on a relaxed La8PtN4 crystal.

It has space group F-43m (No. 216), with a = 11.099 Å, b = 11.099 Å, c = 11.099 Å, α = 90.00°, β = 90.00° and γ = 90.00°. Symmetry generates all atoms from La at (0.106, 0.106, 0.394), La at (0.140, 0.140, 0.860), Pt at (0.250, 0.250, 0.250) and N at (0.128, 0.128, 0.628).

The total energy is -359.3 eV per cell. As for the crystal system: cubic.